1.
## La2P2IrOsN2 (PBE)

Data for a geometry-optimized La2P2IrOsN2 structure.

Geometry as CIF:
```
data_La2P2IrOsN2
_chemical_formula_sum 'La2 P2 Ir1 Os1 N2'
_space_group_name_H-M_alt 'P -4 m 2'
_space_group_IT_number 115
_space_group_name_Hall 'P -4 -2'
_cell_length_a 4.0504
_cell_length_b 4.0504
_cell_length_c 8.8624
_cell_angle_alpha 90.00
_cell_angle_beta 90.00
_cell_angle_gamma 90.00
loop_
_atom_site_label
_atom_site_type_symbol
_atom_site_fract_x
_atom_site_fract_y
_atom_site_fract_z
La1 La 0.0000 0.5000 0.1380
P1 P 0.0000 0.5000 0.6380
Ir1 Ir 0.0000 0.0000 0.5000
Os1 Os 0.5000 0.5000 0.5000
N1 N 0.0000 0.0000 0.0000
N2 N 0.5000 0.5000 0.0000
```

Values from the calculation:
VASP energy   -7.983 eV per atom
Crystal system   tetragonal



2.
## YBeCoPb (PBE)

Data for a geometry-optimized YBeCoPb structure.

Geometry as CIF:
```
data_YBeCoPb
_chemical_formula_sum 'Y4 Be4 Co4 Pb4'
_space_group_name_H-M_alt 'F -4 3 m'
_space_group_IT_number 216
_space_group_name_Hall 'F -4 2 3'
_cell_length_a 6.6261
_cell_length_b 6.6261
_cell_length_c 6.6261
_cell_angle_alpha 90.00
_cell_angle_beta 90.00
_cell_angle_gamma 90.00
loop_
_atom_site_label
_atom_site_type_symbol
_atom_site_fract_x
_atom_site_fract_y
_atom_site_fract_z
Y1 Y 0.0000 0.0000 0.0000
Be1 Be 0.2500 0.2500 0.2500
Co1 Co 0.0000 0.0000 0.5000
Pb1 Pb 0.2500 0.2500 0.7500
```

Values from the calculation:
Energy above the most stable polymorph in this dataset   133 meV per atom
Crystal system   cubic



3.
## SmTl (PBE)

Data for a geometry-optimized SmTl structure.

Geometry as CIF:
```
data_SmTl
_chemical_formula_sum 'Sm4 Tl4'
_space_group_name_H-M_alt 'F m -3 m'
_space_group_IT_number 225
_space_group_name_Hall '-F 4 2 3'
_cell_length_a 6.3411
_cell_length_b 6.3411
_cell_length_c 6.3411
_cell_angle_alpha 90.00
_cell_angle_beta 90.00
_cell_angle_gamma 90.00
loop_
_atom_site_label
_atom_site_type_symbol
_atom_site_fract_x
_atom_site_fract_y
_atom_site_fract_z
Sm1 Sm 0.0000 0.0000 0.0000
Tl1 Tl 0.0000 0.0000 0.5000
```

Values from the calculation:
VASP energy   -3.642 eV per atom
Crystal system   cubic